DFT (GGA-PBE) results for a geometry-optimized Zr2ScTiBr structure.

Summary:
* volume: 118.7 Å³ per cell
* Fermi-level density of states: 1.51 states/eV/atom
* spin magnetization: 0.0 μB/cell
* electronic total energy: -6.352 eV per atom

The structure in CIF format:
```
data_Zr2ScTiBr
_chemical_formula_sum 'Zr2 Sc1 Ti1 Br1'
_space_group_name_H-M_alt 'P 4/m m m'
_space_group_IT_number 123
_space_group_name_Hall '-P 4 2'
_cell_length_a 5.031
_cell_length_b 5.031
_cell_length_c 4.691
_cell_angle_alpha 90.00
_cell_angle_beta 90.00
_cell_angle_gamma 90.00
loop_
_atom_site_label
_atom_site_fract_x
_atom_site_fract_y
_atom_site_fract_z
_atom_site_occupancy
Zr1 0.000 0.500 0.000 1
Sc1 0.000 0.000 0.500 1
Ti1 0.500 0.500 0.500 1
Br1 0.500 0.500 0.000 1
```